[1]
# UPb2F8

Crystalline UPb2F8 at its relaxed geometry (PBE, the Alexandria database).

- magnetic moment (Bohr magnetons per cell) = 2.0
- distance to the lowest polymorph of the same formula (eV/atom) = 0.000
- V (A^3/atom) = 15.37
- final energy (eV per atom) = -6.01
- formation energy (no corrections) (eV per atom) = -2.95

Cell: 4.130 5.899 7.680 Å, 109.48 105.60 90.00°
Positions (direct):
F 0.979 0.182 0.957
F 0.412 0.611 0.824
Pb 0.819 0.328 0.638
F 0.646 0.960 0.293
Pb 0.181 0.672 0.362
F 0.588 0.389 0.176
F 0.221 0.314 0.443
F 0.354 0.040 0.707
F 0.779 0.686 0.557
U 0.500 0.000 0.000
F 0.021 0.818 0.043



[2]
# UPb2F8

Crystalline UPb2F8 at its relaxed geometry (PBE, the Alexandria database).

- magnetic moment (Bohr magnetons per cell) = 2.0
- distance to the lowest polymorph of the same formula (eV/atom) = 0.098
- V (A^3/atom) = 14.64
- final energy (eV per atom) = -5.91
- formation energy (no corrections) (eV per atom) = -2.85

Cell: 3.982 6.639 7.220 Å, 117.37 106.01 90.00°
Positions (direct):
U 0.500 0.000 0.000
F 0.361 0.610 0.723
F 0.000 0.688 0.000
F 0.639 0.888 0.277
Pb 0.163 0.663 0.325
F 0.891 0.891 0.782
F 0.000 0.312 0.000
F 0.639 0.390 0.277
F 0.109 0.109 0.218
Pb 0.837 0.337 0.675
F 0.361 0.112 0.723



Look up the V of the first one.
15.37 A^3/atom



The lowest V belongs to which entry?
number 2



Which of these has the highest distance to the lowest polymorph of the same formula?
number 2



Which of these has the lowest distance to the lowest polymorph of the same formula?
number 1